Below is KSc2FeB after structural relaxation, with properties calculated at the PBE level.

It has space group P4/mmm (No. 123), with a = 4.686 Å, b = 4.686 Å, c = 5.529 Å, α = 90.00°, β = 90.00° and γ = 90.00°. Symmetry generates all atoms from K at (0.000, 0.000, 0.000), Sc at (0.000, 0.500, 0.500), Fe at (0.500, 0.500, 0.000) and B at (0.000, 0.000, 0.500).

The value obtained for the energy above the most stable polymorph in this dataset is 0 meV per atom. For the total energy, the calculation gives -4.90 eV per atom. The calculation puts the formation energy at 4.4 eV per formula unit. The calculation puts the total moment at 1.75 μB/cell.